[1]
DFT (PBE) results for a geometry-optimized NaAgN2 structure.

It has space group Fm-3m (No. 225), with a = 5.678 Å, b = 5.678 Å, c = 5.678 Å, α = 90.00°, β = 90.00° and γ = 90.00°. The distinct sites, in fractional coordinates, are Na at (0.000, 0.000, 0.000), Ag at (0.000, 0.000, 0.500) and N at (0.250, 0.250, 0.250).

The uncorrected formation energy comes out at 1.531 eV/atom. For the excess energy over the best structure of this formula in the dataset, the calculation gives 0.64 eV per formula unit. For the total DFT energy (no corrections), the calculation gives -58.8 eV per cell.

[2]
DFT (PBE) results for a geometry-optimized PbSeSN2 structure.

It has space group P4/mmm (No. 123), with a = 4.002 Å, b = 4.002 Å, c = 5.160 Å, α = 90.00°, β = 90.00° and γ = 90.00°. The distinct sites, in fractional coordinates, are Pb at (0.000, 0.000, 0.000), Se at (0.500, 0.500, 0.500), S at (0.500, 0.500, 0.000) and N at (0.000, 0.500, 0.500).

The uncorrected formation energy comes out at 1.256 eV/atom. For the excess energy over the best structure of this formula in the dataset, the calculation gives 0.00 eV per formula unit. For the total DFT energy (no corrections), the calculation gives -21.7 eV per cell.

[3]
DFT (PBE) results for a geometry-optimized ReSiAs2 structure.

It has space group Cm (No. 8), with a = 8.225 Å, b = 3.170 Å, c = 5.804 Å, α = 90.00°, β = 99.46° and γ = 90.00°. The distinct sites, in fractional coordinates, are Re at (0.000, 0.000, 0.000), Si at (0.273, 0.000, 0.905), As at (0.218, 0.500, 0.266) and As at (0.489, 0.000, 0.649).

The uncorrected formation energy comes out at 0.159 eV/atom. For the total DFT energy (no corrections), the calculation gives -53.1 eV per cell.

[4]
DFT (PBE) results for a geometry-optimized BeMoP2S structure.

It has space group P4/mmm (No. 123), with a = 4.094 Å, b = 4.094 Å, c = 4.592 Å, α = 90.00°, β = 90.00° and γ = 90.00°. The distinct sites, in fractional coordinates, are Be at (0.000, 0.000, 0.000), Mo at (0.500, 0.500, 0.500), P at (0.000, 0.500, 0.000) and S at (0.000, 0.000, 0.500).

The uncorrected formation energy comes out at 0.784 eV/atom. For the excess energy over the best structure of this formula in the dataset, the calculation gives 0.00 eV per formula unit. For the total DFT energy (no corrections), the calculation gives -25.6 eV per cell.

> uncorrected formation energy of number 1 (NaAgN2)?

1.531 eV/atom